VASP calculation (PBE) on an optimized crystal structure of Sm3S2N.

Cell lengths 3.799, 3.799, 9.793 Å; angles 90.00, 90.00, 120.00 degrees
Sites, in units of the cell vectors:
Sm1 0.000 0.000 0.000
Sm2 0.333 0.667 0.636
Sm3 0.667 0.333 0.364
S1 0.333 0.667 0.178
S2 0.667 0.333 0.822
N1 0.000 0.000 0.500

As for the energy: -0.5113 Ry per atom. For the volume, the calculation gives 122.38 Å³ per cell.



VASP calculation (PBE) on an optimized crystal structure of YEr2Al3Si2Pt.

Cell lengths 4.208, 6.884, 6.884 Å; angles 120.04, 90.00, 90.00 degrees
Sites, in units of the cell vectors:
Y1 0.000 0.000 0.000
Er1 0.000 0.418 0.836
Er2 0.000 0.836 0.418
Al1 0.500 0.181 0.419
Al2 0.500 0.419 0.181
Al3 0.500 0.656 0.656
Si1 0.500 0.086 0.750
Si2 0.500 0.750 0.086
Pt1 0.000 0.422 0.422

As for the energy: -0.4219 Ry per atom. For the volume, the calculation gives 172.63 Å³ per cell.



VASP calculation (PBE) on an optimized crystal structure of NaTaCdPt.

Cell lengths 6.532, 6.532, 6.532 Å; angles 90.00, 90.00, 90.00 degrees
Sites, in units of the cell vectors:
Na1 0.000 0.000 0.000
Na2 0.000 0.500 0.500
Na3 0.500 0.000 0.500
Na4 0.500 0.500 0.000
Ta1 0.250 0.250 0.750
Ta2 0.250 0.750 0.250
Ta3 0.750 0.250 0.250
Ta4 0.750 0.750 0.750
Cd1 0.250 0.250 0.250
Cd2 0.250 0.750 0.750
Cd3 0.750 0.250 0.750
Cd4 0.750 0.750 0.250
Pt1 0.000 0.000 0.500
Pt2 0.000 0.500 0.000
Pt3 0.500 0.000 0.000
Pt4 0.500 0.500 0.500

As for the energy: -0.3649 Ry per atom. For the volume, the calculation gives 278.65 Å³ per cell. The value obtained for the energy above the lowest structure with this stoichiometry is 0 meV/atom.



VASP calculation (PBE) on an optimized crystal structure of PrDy2Mg3AgHg2.

Cell lengths 4.203, 7.850, 7.850 Å; angles 120.20, 90.00, 90.00 degrees
Sites, in units of the cell vectors:
Pr1 0.000 0.000 0.000
Dy1 0.000 0.181 0.590
Dy2 0.000 0.590 0.181
Mg1 0.500 0.347 0.347
Mg2 0.500 0.586 0.832
Mg3 0.500 0.832 0.586
Ag1 0.000 0.584 0.584
Hg1 0.500 0.263 0.920
Hg2 0.500 0.920 0.263

As for the energy: -0.2065 Ry per atom. For the volume, the calculation gives 223.86 Å³ per cell.



VASP calculation (PBE) on an optimized crystal structure of ThMg.

Cell lengths 6.945, 5.946, 5.555 Å; angles 90.00, 90.00, 90.00 degrees
Sites, in units of the cell vectors:
Th1 0.127 0.097 0.250
Th2 0.127 0.403 0.750
Th3 0.873 0.597 0.250
Th4 0.873 0.903 0.750
Mg1 0.381 0.598 0.250
Mg2 0.381 0.902 0.750
Mg3 0.619 0.098 0.250
Mg4 0.619 0.402 0.750

As for the energy: -0.3194 Ry per atom. For the volume, the calculation gives 229.40 Å³ per cell.



VASP calculation (PBE) on an optimized crystal structure of SbMo2N.

Cell lengths 3.335, 3.335, 12.497 Å; angles 90.00, 90.00, 120.00 degrees
Sites, in units of the cell vectors:
Sb1 0.333 0.667 0.250
Sb2 0.667 0.333 0.750
Mo1 0.333 0.667 0.577
Mo2 0.333 0.667 0.923
Mo3 0.667 0.333 0.077
Mo4 0.667 0.333 0.423
N1 0.000 0.000 0.000
N2 0.000 0.000 0.500

As for the energy: -0.6244 Ry per atom. For the volume, the calculation gives 120.35 Å³ per cell.



VASP calculation (PBE) on an optimized crystal structure of HfTc2Sn.

Cell lengths 4.589, 4.589, 8.125 Å; angles 90.00, 90.00, 120.00 degrees
Sites, in units of the cell vectors:
Hf1 0.333 0.667 0.250
Hf2 0.667 0.333 0.750
Tc1 0.333 0.667 0.601
Tc2 0.333 0.667 0.899
Tc3 0.667 0.333 0.101
Tc4 0.667 0.333 0.399
Sn1 0.000 0.000 0.000
Sn2 0.000 0.000 0.500

As for the energy: -0.6464 Ry per atom. For the volume, the calculation gives 148.19 Å³ per cell.



VASP calculation (PBE) on an optimized crystal structure of BaSnHg.

Cell lengths 8.288, 8.288, 4.991 Å; angles 90.00, 90.00, 120.00 degrees
Sites, in units of the cell vectors:
Ba1 0.000 0.581 0.000
Ba2 0.419 0.419 0.000
Ba3 0.581 0.000 0.000
Sn1 0.000 0.000 0.000
Sn2 0.333 0.667 0.500
Sn3 0.667 0.333 0.500
Hg1 0.000 0.256 0.500
Hg2 0.256 0.000 0.500
Hg3 0.744 0.744 0.500

As for the energy: -0.1883 Ry per atom. For the volume, the calculation gives 296.90 Å³ per cell.